Computed, not measured: a geometry-optimized LiSiAg2Au2 structure at the PBE level of DFT.

For the energy relative to the elements, uncorrected, the calculation gives -1.08 eV per formula unit.

The structure belongs to space group Pmc2_1 (No. 26); the cell edges are 4.5364, 7.8291 and 5.7781 Å and the angles 90.00°, 90.00° and 90.00°. The distinct sites, in fractional coordinates, are Li at (0.0000, 0.0040, 0.0000), Si at (0.5000, 0.1902, 0.6861), Ag at (0.0000, 0.3386, 0.2673), Ag at (0.5000, 0.4712, 0.9980), Au at (0.0000, 0.2973, 0.7658) and Au at (0.5000, 0.1233, 0.2596).

Computed, not measured: a geometry-optimized Li2Ag2SnAu2 structure at the PBE level of DFT.

Its energy of formation from the pure elements is -24 kJ per mole of atoms.

The structure belongs to space group R-3m (No. 166, hexagonal axes); the cell edges are 4.6405, 4.6405 and 19.8741 Å and the angles 90.00°, 90.00° and 120.00°. The distinct sites, in fractional coordinates, are Li at (0.0000, 0.0000, 0.2233), Ag at (0.0000, 0.0000, 0.0779), Sn at (0.0000, 0.0000, 0.5000) and Au at (0.0000, 0.0000, 0.3581).

Computed, not measured: a geometry-optimized LiAgSnAu structure at the PBE level of DFT.

Its energy of formation from the pure elements is -31 kJ per mole of atoms.

The structure belongs to space group F-43m (No. 216); the cell edges are 6.6707, 6.6707 and 6.6707 Å and the angles 90.00°, 90.00° and 90.00°. The distinct sites, in fractional coordinates, are Li at (0.0000, 0.0000, 0.0000), Ag at (0.2500, 0.2500, 0.7500), Sn at (0.0000, 0.0000, 0.5000) and Au at (0.2500, 0.2500, 0.2500).

Number 1: theoretical density 10.43 Mg/m³. Number 2: theoretical density 9.98 Mg/m³. Number 3: theoretical density 9.63 Mg/m³.